[1]
Crystalline Pm9DyTm2 at its relaxed geometry. Source: Alexandria via LeMat-Bulk, functional PBE.

As for the total moment: 0.00 μB/cell. For the calculated total energy, the calculation gives -4.6752 eV/atom. As for the space-group type: P4/mmm (123). Its volume is 400.0 Å³ per cell. Its density of states at the Fermi level is 18.9 states/eV/cell. The formation energy from the elements comes out at 0.02 eV/atom.

Structure (extended XYZ):
```
12
Lattice="5.109 0.000 0.000 0.000 5.109 0.000 0.000 0.000 15.324" Properties=species:S:1:pos:R:3 pbc="T T T"
Pm 0.000 0.000 0.000
Pm 0.000 0.000 5.119
Pm 0.000 0.000 10.205
Pm 0.000 2.555 2.567
Pm 0.000 2.555 7.662
Pm 0.000 2.555 12.758
Pm 2.555 0.000 2.567
Pm 2.555 0.000 7.662
Pm 2.555 0.000 12.758
Dy 2.555 2.555 0.000
Tm 2.555 2.555 5.115
Tm 2.555 2.555 10.209
```

[2]
Crystalline B5Os at its relaxed geometry. Source: Alexandria via LeMat-Bulk, functional PBE.

As for the total moment: 0.00 μB/cell. For the calculated total energy, the calculation gives -6.5632 eV/atom. As for the space-group type: Cmmm (65). Its volume is 46.9 Å³ per cell. Its density of states at the Fermi level is 2.4 states/eV/cell. The formation energy from the elements comes out at 0.87 eV/atom.

Structure (extended XYZ):
```
6
Lattice="1.842 -4.674 0.000 1.842 4.674 0.000 0.000 0.000 2.721" Properties=species:S:1:pos:R:3 pbc="T T T"
B 0.000 0.000 0.000
B 1.842 3.255 1.361
B 1.842 2.032 0.000
B 1.842 -2.032 0.000
B 1.842 -3.255 1.361
Os 1.842 0.000 1.361
```

[3]
Crystalline NiCl at its relaxed geometry. Source: Alexandria via LeMat-Bulk, functional PBE.

The formation energy without anion corrections comes out at -0.22 eV/atom. As for the total moment: 2.00 μB/cell. For the calculated total energy, the calculation gives -4.0336 eV/atom. As for the space-group type: Pmn2_1 (31). Its volume is 81.6 Å³ per cell. Its density of states at the Fermi level is 0.3 states/eV/cell.

Structure (extended XYZ):
```
4
Lattice="3.397 0.000 0.000 0.000 6.474 0.000 0.000 0.000 3.712" Properties=species:S:1:pos:R:3 pbc="T T T"
Ni 0.000 0.323 0.000
Ni 1.698 6.151 1.856
Cl 0.000 4.858 2.587
Cl 1.698 1.616 0.731
```

[4]
Crystalline Rb2CeAl2O6 at its relaxed geometry. Source: Alexandria via LeMat-Bulk, functional PBE.

The formation energy without anion corrections comes out at -2.53 eV/atom. As for the total moment: 0.00 μB/cell. For the calculated total energy, the calculation gives -6.6258 eV/atom. As for the space-group type: R-3m (166). Its volume is 200.3 Å³ per cell. Its density of states at the Fermi level is 0.0 states/eV/cell.

Structure (extended XYZ):
```
11
Lattice="3.035 1.752 6.279 -3.035 1.752 6.279 0.000 -3.504 6.279" Properties=species:S:1:pos:R:3 pbc="T T T"
Rb 0.000 0.000 3.863
Rb 0.000 0.000 14.973
Ce 0.000 0.000 0.000
Al 0.000 0.000 7.633
Al 0.000 0.000 11.203
O 0.000 -1.711 7.663
O -1.482 0.856 7.663
O -1.482 -0.856 11.173
O 1.482 0.856 7.663
O 1.482 -0.856 11.173
O 0.000 1.711 11.173
```